1.
InCuSn2: relaxed, GGA-PBE.

E above lowest polymorph ... 4 meV/atom
Symmetry ... P4/mmm

Cell: 3.294 3.294 8.724 Å, 90.00 90.00 90.00°
Fractional positions:
Sn 0.000 0.000 0.805
Sn 0.000 0.000 0.195
In 0.500 0.500 0.500
Cu 0.500 0.500 0.000

=====

2.
Ca2ZnRe: relaxed, GGA-PBE.

Symmetry ... Imm2

Cell: 6.318 6.318 6.318 Å, 151.93 130.31 58.04°
Fractional positions:
Ca 0.720 0.220 0.500
Ca 0.025 0.025 0.000
Re 0.472 0.472 0.000
Zn 0.284 0.784 0.500

=====

3.
LiSmS2: relaxed, GGA-PBE.

E_form (uncorrected) ... -1.74 eV/atom
Symmetry ... R3m

Cell: 3.977 3.977 7.044 Å, 73.60 73.60 60.00°
Fractional positions:
S 0.085 0.085 0.745
S 0.258 0.258 0.226
Sm 0.669 0.669 0.993
Li 0.488 0.488 0.536

=====

4.
TbDy2Cd4: relaxed, GGA-PBE.

Symmetry ... I4/mmm

Cell: 5.332 5.332 7.859 Å, 109.83 109.83 90.00°
Fractional positions:
Cd 0.615 0.115 0.231
Cd 0.385 0.885 0.769
Cd 0.115 0.615 0.231
Cd 0.885 0.385 0.769
Dy 0.259 0.259 0.519
Dy 0.741 0.741 0.481
Tb 0.000 0.000 0.000

=====

5.
La2Ga4Sn2Rh: relaxed, GGA-PBE.

Symmetry ... I4/mmm

Cell: 6.574 6.574 6.574 Å, 89.72 120.16 120.16°
Fractional positions:
Ga 0.000 0.725 0.275
Ga 0.550 0.275 0.275
Ga 0.450 0.725 0.725
Ga 0.000 0.275 0.725
Sn 0.000 0.286 0.286
Sn 0.000 0.714 0.714
Rh 0.000 0.000 0.000
La 0.500 0.750 0.250
La 0.500 0.250 0.750

=====

6.
Y4Ga3Hg: relaxed, GGA-PBE.

Symmetry ... Pmm2

Cell: 4.270 4.206 11.103 Å, 90.00 90.00 90.00°
Fractional positions:
Ga 0.000 0.500 0.574
Ga 0.000 0.000 0.427
Ga 0.500 0.000 0.912
Y 0.500 0.000 0.639
Y 0.500 0.500 0.366
Y 0.000 0.500 0.855
Y 0.000 0.000 0.145
Hg 0.500 0.500 0.082

=====

Asked for energy across the records above, the calculation gives -14.55, -16.09, -21.84, -18.59, -43.03, -40.01 eV for the cell shown in order.